Entry from OQMD: a geometry-optimized Gd3Tl2Sn2Pb3 structure (PBE).

Cell lengths 13.1637, 13.1637, 4.6430 Å; angles 90.00, 90.00, 159.72 degrees
Element x y z (fractional)
1 Pb 0.0000 0.0000 0.0000
2 Sn 0.2090 0.7910 0.0000
3 Gd 0.3086 0.6914 0.5000
4 Sn 0.7910 0.2090 0.0000
5 Pb 0.4011 0.5989 0.0000
6 Gd 0.6914 0.3086 0.5000
7 Gd 0.5000 0.5000 0.5000
8 Tl 0.0995 0.9005 0.5000
9 Pb 0.5989 0.4011 0.0000
10 Tl 0.9005 0.0995 0.5000

Properties
- Offset from the most stable computed form: 3.6 meV/atom
- Symmetry: No. 65
- E_tot: -4.191 eV per atom
- Total magnetic moment: 0.01 μB/f.u.